Entry 1:
First-principles (PBE) data for BaFe2Sb after structural relaxation, as listed in Alexandria.

Cell lengths 3.238, 5.767, 10.330 Å; angles 90.00, 90.00, 90.00 degrees
Space group Imm2 (No. 44)
Asymmetric unit:
Ba: 0.000 0.000 0.000
Fe: 0.000 0.000 0.493
Fe: 0.000 0.500 0.825
Sb: 0.000 0.500 0.202

---

Entry 2:
First-principles (PBE) data for BaFe2Sb after structural relaxation, as listed in Alexandria.

Cell lengths 4.2958, 4.2958, 18.4873 Å; angles 90.00, 90.00, 120.00 degrees
Space group R3m (No. 160, hexagonal axes)
Asymmetric unit:
Ba: 0.0000 0.0000 0.0000
Fe: 0.0000 0.0000 0.1999
Fe: 0.0000 0.0000 0.5279
Sb: 0.0000 0.0000 0.8117

---

Entry 3:
First-principles (PBE) data for BaFeSb4 after structural relaxation, as listed in Alexandria.

Cell lengths 8.982, 8.982, 8.982 Å; angles 90.00, 90.00, 90.00 degrees
Space group F-43m (No. 216)
Asymmetric unit:
Ba: 0.000 0.000 0.000
Fe: 0.250 0.250 0.750
Sb: 0.123 0.123 0.377

---

Entry 4:
First-principles (PBE) data for Ba2FeSb after structural relaxation, as listed in Alexandria.

Cell lengths 7.977, 7.977, 7.977 Å; angles 90.00, 90.00, 90.00 degrees
Space group F-43m (No. 216)
Asymmetric unit:
Ba: 0.000 0.000 0.000
Ba: 0.250 0.250 0.250
Fe: 0.250 0.250 0.750
Sb: 0.000 0.000 0.500

---

Entry 5:
First-principles (PBE) data for Ba2FeSb after structural relaxation, as listed in Alexandria.

Cell lengths 3.860, 3.860, 9.684 Å; angles 90.00, 90.00, 90.00 degrees
Space group P4mm (No. 99)
Asymmetric unit:
Ba: 0.000 0.000 0.000
Ba: 0.500 0.500 0.413
Fe: 0.000 0.000 0.671
Sb: 0.500 0.500 0.755

---

Entry 6:
First-principles (PBE) data for BaFe2Sb after structural relaxation, as listed in Alexandria.

Cell lengths 3.373, 3.373, 7.869 Å; angles 90.00, 90.00, 90.00 degrees
Space group P4mm (No. 99)
Asymmetric unit:
Ba: 0.000 0.000 0.000
Fe: 0.000 0.000 0.438
Fe: 0.500 0.500 0.317
Sb: 0.500 0.500 0.648

---

| no. | formation energy without anion corrections (meV per atom) | total moment (μB/f.u.) |
| --- | --- | --- |
| 1 | 446 | 5.0 |
| 2 | -70 | 4.0 |
| 3 | 234 | 3.1 |
| 4 | 254 | 2.5 |
| 5 | 97 | 2.3 |
| 6 | 235 | 5.1 |